A geometry-optimized In4MoRh5 structure, computed with PBE-GGA.

Properties
D(E_F)	4.9	states/eV/cell
crystal system	tetragonal
E_form	-0.31	eV/atom
mass density	10.76	g/cm3

Unit cell a=3.022 b=3.022 c=18.075 alpha=90.00 beta=90.00 gamma=90.00
Space group P4/mmm (No. 123)
Unique sites:
In (0.000, 0.000, 0.100) (multiplicity 2)
In (0.000, 0.000, 0.300) (multiplicity 2)
Mo (0.000, 0.000, 0.500) (multiplicity 1)
Rh (0.500, 0.500, 0.000) (multiplicity 1)
Rh (0.500, 0.500, 0.200) (multiplicity 2)
Rh (0.500, 0.500, 0.404) (multiplicity 2)

***

A geometry-optimized InMoRh2 structure, computed with PBE-GGA.

Properties
D(E_F)	2.8	states/eV/cell
crystal system	monoclinic
E_form	-0.17	eV/atom
mass density	10.80	g/cm3

Unit cell a=2.883 b=3.794 c=5.855 alpha=90.00 beta=90.25 gamma=90.00
Space group P2/m (No. 10)
Unique sites:
In (0.000, 0.000, 0.000) (multiplicity 1)
Mo (0.000, 0.000, 0.500) (multiplicity 1)
Rh (0.499, 0.500, 0.731) (multiplicity 2)

***

no.,raw total energy (eV per atom)
1,-6.1660
2,-7.2410